# 1
! Si2B, optimized geometry, DFT PBE-GGA; values from VASP
! E_form (uncorrected), eV/atom: 0.206
! Fermi-level density of states, states/eV/f.u.: 0.18
! Calculated volume, A^3/atom: 13.918
! Polymorph energy (0 for the lowest one), eV/f.u.: 0.07
! Total magnetic moment, μB/cell: 0.0
! Total energy, eV/atom: -5.6348
&SYSTEM
  ibrav = 0, nat = 6, ntyp = 2
/
ATOMIC_SPECIES
Si 28.09 Si.upf
B 10.81 B.upf
CELL_PARAMETERS angstrom
-1.907 -1.131 2.770
3.759 -2.512 0.718
1.268 4.781 2.144
ATOMIC_POSITIONS crystal
Si 0.158 0.109 0.697
Si 0.773 0.856 0.091
B 0.941 0.704 0.429
Si 0.743 0.460 0.710
Si 0.368 0.473 0.317
B 0.309 0.076 0.062

=====

# 2
! Si23B3, optimized geometry, DFT PBE-GGA; values from VASP
! E_form (uncorrected), eV/atom: 0.639
! Fermi-level density of states, states/eV/f.u.: 8.62
! Calculated volume, A^3/atom: 20.060
! Total magnetic moment, μB/cell: 1.5
! Total energy, eV/atom: -4.9285
&SYSTEM
  ibrav = 0, nat = 52, ntyp = 2
/
ATOMIC_SPECIES
Si 28.09 Si.upf
B 10.81 B.upf
CELL_PARAMETERS angstrom
-9.773 -1.574 -2.204
1.387 -9.998 0.988
-2.326 0.650 9.850
ATOMIC_POSITIONS crystal
Si 0.816 0.816 0.816
B 0.000 0.750 0.500
Si 0.500 0.384 0.810
Si 0.316 0.316 0.316
Si 0.190 0.500 0.616
Si 0.500 0.616 0.190
Si 0.684 0.316 0.316
B 0.500 0.000 0.750
Si 0.500 0.750 0.000
Si 0.316 0.684 0.684
Si 0.384 0.810 0.500
Si 0.310 0.884 0.000
Si 0.884 0.000 0.690
Si 0.000 0.690 0.884
Si 0.816 0.184 0.184
Si 0.500 0.384 0.190
Si 0.184 0.184 0.184
B 0.500 0.000 0.250
Si 0.310 0.116 0.000
Si 0.316 0.684 0.316
Si 0.116 0.000 0.310
Si 0.000 0.690 0.116
Si 0.000 0.500 0.750
B 0.750 0.500 0.000
Si 0.750 0.000 0.500
Si 0.690 0.116 0.000
Si 0.616 0.190 0.500
Si 0.190 0.500 0.384
Si 0.316 0.316 0.684
Si 0.810 0.500 0.616
Si 0.000 0.310 0.884
Si 0.250 0.000 0.500
Si 0.500 0.250 0.000
Si 0.684 0.684 0.684
Si 0.500 0.616 0.810
Si 0.816 0.816 0.184
Si 0.684 0.684 0.316
Si 0.184 0.184 0.816
Si 0.684 0.316 0.684
Si 0.000 0.500 0.250
B 0.250 0.500 0.000
Si 0.884 0.000 0.310
Si 0.616 0.810 0.500
Si 0.810 0.500 0.384
Si 0.816 0.184 0.816
Si 0.184 0.816 0.184
Si 0.000 0.310 0.116
B 0.000 0.250 0.500
Si 0.384 0.190 0.500
Si 0.116 0.000 0.690
Si 0.184 0.816 0.816
Si 0.690 0.884 0.000

=====

# 3
! Si2B, optimized geometry, DFT PBE-GGA; values from VASP
! E_form (uncorrected), eV/atom: 0.288
! Fermi-level density of states, states/eV/f.u.: 0.86
! Calculated volume, A^3/atom: 15.928
! Polymorph energy (0 for the lowest one), eV/f.u.: 0.31
! Total magnetic moment, μB/cell: 0.0
! Total energy, eV/atom: -5.5531
&SYSTEM
  ibrav = 0, nat = 12, ntyp = 2
/
ATOMIC_SPECIES
Si 28.09 Si.upf
B 10.81 B.upf
CELL_PARAMETERS angstrom
4.473 0.000 -0.008
0.000 5.093 0.000
-1.445 0.000 8.393
ATOMIC_POSITIONS crystal
Si 0.926 0.094 0.128
B 0.266 0.393 0.772
B 0.734 0.393 0.228
B 0.266 0.893 0.272
B 0.734 0.893 0.728
Si 0.565 0.239 0.647
Si 0.435 0.739 0.853
Si 0.926 0.594 0.628
Si 0.074 0.594 0.372
Si 0.435 0.239 0.353
Si 0.565 0.739 0.147
Si 0.074 0.094 0.872

=====

# 4
! Si2B, optimized geometry, DFT PBE-GGA; values from VASP
! E_form (uncorrected), eV/atom: 0.234
! Fermi-level density of states, states/eV/f.u.: 0.32
! Calculated volume, A^3/atom: 13.309
! Polymorph energy (0 for the lowest one), eV/f.u.: 0.15
! Total magnetic moment, μB/cell: 0.0
! Total energy, eV/atom: -5.6075
&SYSTEM
  ibrav = 0, nat = 12, ntyp = 2
/
ATOMIC_SPECIES
Si 28.09 Si.upf
B 10.81 B.upf
CELL_PARAMETERS angstrom
3.579 0.000 0.001
0.000 7.454 0.000
-3.439 0.000 5.986
ATOMIC_POSITIONS crystal
Si 0.951 0.663 0.704
Si 0.397 0.500 0.261
Si 0.397 0.000 0.761
B 0.619 0.257 0.866
B 0.619 0.757 0.366
B 0.619 0.243 0.366
Si 0.951 0.337 0.704
Si 0.951 0.163 0.204
B 0.619 0.743 0.866
Si 0.656 0.500 0.014
Si 0.656 0.000 0.514
Si 0.951 0.837 0.204

=====

# 5
! Si2B, optimized geometry, DFT PBE-GGA; values from VASP
! E_form (uncorrected), eV/atom: 0.219
! Fermi-level density of states, states/eV/f.u.: 0.56
! Calculated volume, A^3/atom: 14.113
! Polymorph energy (0 for the lowest one), eV/f.u.: 0.10
! Total magnetic moment, μB/cell: 0.0
! Total energy, eV/atom: -5.6223
&SYSTEM
  ibrav = 0, nat = 6, ntyp = 2
/
ATOMIC_SPECIES
B 10.81 B.upf
Si 28.09 Si.upf
CELL_PARAMETERS angstrom
-1.591 -1.591 2.726
-2.781 -3.262 -1.247
3.163 -5.169 1.103
ATOMIC_POSITIONS crystal
B 0.612 0.052 0.226
B 0.388 0.948 0.774
Si 0.341 0.316 0.501
Si 0.888 0.790 0.933
Si 0.112 0.210 0.067
Si 0.659 0.684 0.499

=====

# 6
! Si2B, optimized geometry, DFT PBE-GGA; values from VASP
! E_form (uncorrected), eV/atom: 0.279
! Fermi-level density of states, states/eV/f.u.: 0.51
! Calculated volume, A^3/atom: 14.575
! Polymorph energy (0 for the lowest one), eV/f.u.: 0.28
! Total magnetic moment, μB/cell: 0.0
! Total energy, eV/atom: -5.5620
&SYSTEM
  ibrav = 0, nat = 6, ntyp = 2
/
ATOMIC_SPECIES
B 10.81 B.upf
Si 28.09 Si.upf
CELL_PARAMETERS angstrom
3.529 -0.029 -0.018
-1.581 4.970 -0.015
-1.767 -0.806 5.012
ATOMIC_POSITIONS crystal
B 0.189 0.399 0.853
Si 0.925 0.996 0.609
Si 0.315 0.268 0.209
B 0.733 0.059 0.235
Si 0.645 0.483 0.669
Si 0.461 0.831 0.877

=====

# 7
! Si23B, optimized geometry, DFT PBE-GGA; values from VASP
! E_form (uncorrected), eV/atom: 0.256
! Fermi-level density of states, states/eV/f.u.: 3.69
! Calculated volume, A^3/atom: 22.124
! Total magnetic moment, μB/cell: 0.0
! Total energy, eV/atom: -5.2192
&SYSTEM
  ibrav = 0, nat = 48, ntyp = 2
/
ATOMIC_SPECIES
Si 28.09 Si.upf
B 10.81 B.upf
CELL_PARAMETERS angstrom
-1.524 0.182 -10.086
-7.844 -6.435 1.069
-6.343 7.915 1.101
ATOMIC_POSITIONS crystal
Si 0.000 0.500 0.750
Si 0.883 0.000 0.308
Si 0.500 0.250 0.000
Si 0.308 0.117 0.000
B 0.500 0.500 0.500
Si 0.500 0.383 0.808
Si 0.117 0.000 0.308
Si 0.692 0.117 0.000
Si 0.817 0.183 0.817
Si 0.692 0.883 0.000
Si 0.683 0.683 0.683
Si 0.000 0.308 0.883
Si 0.192 0.500 0.617
B 0.000 0.000 0.000
Si 0.683 0.317 0.317
Si 0.183 0.183 0.817
Si 0.183 0.817 0.817
Si 0.317 0.317 0.683
Si 0.500 0.617 0.808
Si 0.683 0.683 0.317
Si 0.383 0.808 0.500
Si 0.317 0.317 0.317
Si 0.883 0.000 0.692
Si 0.308 0.883 0.000
Si 0.183 0.817 0.183
Si 0.808 0.500 0.383
Si 0.683 0.317 0.683
Si 0.808 0.500 0.617
Si 0.500 0.750 0.000
Si 0.000 0.308 0.117
Si 0.817 0.817 0.183
Si 0.383 0.192 0.500
Si 0.317 0.683 0.317
Si 0.617 0.192 0.500
Si 0.817 0.817 0.817
Si 0.117 0.000 0.692
Si 0.250 0.000 0.500
Si 0.183 0.183 0.183
Si 0.617 0.808 0.500
Si 0.000 0.692 0.117
Si 0.500 0.617 0.192
Si 0.500 0.383 0.192
Si 0.817 0.183 0.183
Si 0.000 0.500 0.250
Si 0.750 0.000 0.500
Si 0.000 0.692 0.883
Si 0.317 0.683 0.683
Si 0.192 0.500 0.383

=====

# 8
! Si2B, optimized geometry, DFT PBE-GGA; values from VASP
! E_form (uncorrected), eV/atom: 0.250
! Fermi-level density of states, states/eV/f.u.: 0.54
! Calculated volume, A^3/atom: 14.541
! Polymorph energy (0 for the lowest one), eV/f.u.: 0.20
! Total magnetic moment, μB/cell: 0.0
! Total energy, eV/atom: -5.5916
&SYSTEM
  ibrav = 0, nat = 12, ntyp = 2
/
ATOMIC_SPECIES
Si 28.09 Si.upf
B 10.81 B.upf
CELL_PARAMETERS angstrom
-0.309 2.086 -3.666
1.547 -2.468 -1.534
-10.749 -7.398 1.063
ATOMIC_POSITIONS crystal
Si 0.547 0.500 0.691
B 0.262 0.000 0.290
Si 0.444 0.500 0.948
Si 0.014 0.000 0.542
Si 0.014 0.500 0.042
Si 0.011 0.500 0.224
B 0.309 0.000 0.029
Si 0.547 0.000 0.191
B 0.262 0.500 0.790
Si 0.444 0.000 0.448
B 0.309 0.500 0.529
Si 0.011 0.000 0.724

=====

# 9
! Si2B, optimized geometry, DFT PBE-GGA; values from VASP
! E_form (uncorrected), eV/atom: 0.223
! Fermi-level density of states, states/eV/f.u.: 0.47
! Calculated volume, A^3/atom: 14.588
! Polymorph energy (0 for the lowest one), eV/f.u.: 0.12
! Total magnetic moment, μB/cell: 0.0
! Total energy, eV/atom: -5.6180
&SYSTEM
  ibrav = 0, nat = 6, ntyp = 2
/
ATOMIC_SPECIES
B 10.81 B.upf
Si 28.09 Si.upf
CELL_PARAMETERS angstrom
-2.669 -1.879 -1.113
3.461 -3.730 1.341
-1.205 1.742 4.859
ATOMIC_POSITIONS crystal
B 0.443 0.142 0.568
Si 0.090 0.748 0.599
Si 0.678 0.336 0.962
B 0.557 0.858 0.432
Si 0.910 0.252 0.401
Si 0.322 0.664 0.038

=====

# 10
! Si2B, optimized geometry, DFT PBE-GGA; values from VASP
! E_form (uncorrected), eV/atom: 0.211
! Fermi-level density of states, states/eV/f.u.: 0.25
! Calculated volume, A^3/atom: 13.964
! Polymorph energy (0 for the lowest one), eV/f.u.: 0.08
! Total magnetic moment, μB/cell: 0.0
! Total energy, eV/atom: -5.6299
&SYSTEM
  ibrav = 0, nat = 12, ntyp = 2
/
ATOMIC_SPECIES
Si 28.09 Si.upf
B 10.81 B.upf
CELL_PARAMETERS angstrom
5.524 0.000 -0.002
0.000 3.551 0.000
-5.446 0.000 8.544
ATOMIC_POSITIONS crystal
Si 0.857 0.500 0.814
Si 0.373 0.500 0.975
B 0.533 0.000 0.970
B 0.131 0.000 0.580
Si 0.857 0.000 0.314
Si 0.972 0.500 0.609
B 0.131 0.500 0.080
Si 0.550 0.000 0.776
Si 0.373 0.000 0.475
B 0.533 0.500 0.470
Si 0.972 0.000 0.109
Si 0.550 0.500 0.276

=====

# 11
! Si2B, optimized geometry, DFT PBE-GGA; values from VASP
! E_form (uncorrected), eV/atom: 0.184
! Fermi-level density of states, states/eV/f.u.: 0.28
! Calculated volume, A^3/atom: 14.533
! Polymorph energy (0 for the lowest one), eV/f.u.: 0.00
! Total magnetic moment, μB/cell: 0.0
! Total energy, eV/atom: -5.6569
&SYSTEM
  ibrav = 0, nat = 12, ntyp = 2
/
ATOMIC_SPECIES
B 10.81 B.upf
Si 28.09 Si.upf
CELL_PARAMETERS angstrom
-5.258 1.607 11.662
-2.848 -0.773 -1.178
0.740 -4.095 0.898
ATOMIC_POSITIONS crystal
B 0.834 0.000 0.732
Si 0.685 0.000 0.541
Si 0.185 0.500 0.041
Si 0.092 0.500 0.520
B 0.666 0.500 0.232
Si 0.408 0.000 0.020
Si 0.815 0.500 0.041
Si 0.592 0.000 0.020
B 0.166 0.000 0.732
Si 0.908 0.500 0.520
B 0.334 0.500 0.232
Si 0.315 0.000 0.541

=====

# 12
! SiB5, optimized geometry, DFT PBE-GGA; values from VASP
! E_form (uncorrected), eV/atom: 0.750
! Fermi-level density of states, states/eV/f.u.: 1.38
! Calculated volume, A^3/atom: 8.574
! Total magnetic moment, μB/cell: 0.0
! Total energy, eV/atom: -5.7184
&SYSTEM
  ibrav = 0, nat = 6, ntyp = 2
/
ATOMIC_SPECIES
B 10.81 B.upf
Si 28.09 Si.upf
CELL_PARAMETERS angstrom
2.901 0.000 0.000
0.000 3.153 0.000
0.000 -1.576 5.624
ATOMIC_POSITIONS crystal
B 0.000 0.372 0.743
B 0.500 0.722 0.444
Si 0.000 0.000 0.000
B 0.500 0.500 0.000
B 0.500 0.278 0.556
B 0.000 0.628 0.257